Record 1
Here is BaBeH6Pd after structural relaxation from Alexandria. Energies are from PBE-GGA.

CIF file:
```
data_BaBeH6Pd
_chemical_formula_sum 'Ba1 Be1 H6 Pd1'
_cell_length_a 4.5915
_cell_length_b 4.5915
_cell_length_c 5.0768
_cell_angle_alpha 90.00
_cell_angle_beta 90.00
_cell_angle_gamma 120.00
_symmetry_space_group_name_H-M 'P -6 m 2'
_symmetry_Int_Tables_number 187
_symmetry_space_group_name_Hall 'P -6 2'
loop_
_atom_site_label
_atom_site_fract_x
_atom_site_fract_y
_atom_site_fract_z
Ba1 0.0000 0.0000 0.0000
Be1 0.3333 0.6667 0.5000
H1 0.0221 0.5110 0.2890
Pd1 0.6667 0.3333 0.5000
```

Output
electronic total energy	-3.664	eV per atom
magnetic moment	0.000	μB per formula unit
DOS at the Fermi energy	1.15	states/eV/cell

=====

Record 2
Here is LaPm4Th after structural relaxation from Alexandria. Energies are from PBE-GGA.

CIF file:
```
data_LaPm4Th
_chemical_formula_sum 'La1 Pm4 Th1'
_cell_length_a 3.640
_cell_length_b 5.197
_cell_length_c 10.934
_cell_angle_alpha 90.00
_cell_angle_beta 90.00
_cell_angle_gamma 90.00
_symmetry_space_group_name_H-M 'P m m m'
_symmetry_Int_Tables_number 47
loop_
_symmetry_equiv_pos_as_xyz
'x,y,z'
'-x,-y,-z'
'-x,-y,z'
'x,y,-z'
'x,-y,-z'
'-x,y,z'
'-x,y,-z'
'x,-y,z'
loop_
_atom_site_label
_atom_site_fract_x
_atom_site_fract_y
_atom_site_fract_z
La1 0.000 0.000 0.000
Pm1 0.000 0.000 0.341
Pm2 0.500 0.500 0.172
Th1 0.500 0.500 0.500
```

Output
electronic total energy	-5.182	eV per atom
magnetic moment	0.000	μB per formula unit
energy above the most stable polymorph in this dataset	0.006	eV/atom
ΔE_f	0.260	eV per formula unit
DOS at the Fermi energy	10.59	states/eV/cell

=====

Record 3
Here is Ac7La2Tb2 after structural relaxation from Alexandria. Energies are from PBE-GGA.

CIF file:
```
data_Ac7La2Tb2
_chemical_formula_sum 'Ac14 La4 Tb4'
_cell_length_a 11.898
_cell_length_b 12.734
_cell_length_c 6.655
_cell_angle_alpha 90.00
_cell_angle_beta 112.61
_cell_angle_gamma 90.00
_symmetry_space_group_name_H-M 'C 1 2/m 1'
_symmetry_Int_Tables_number 12
loop_
_symmetry_equiv_pos_as_xyz
'x,y,z'
'-x,-y,-z'
'-x,y,-z'
'x,-y,z'
'x+1/2,y+1/2,z'
'-x+1/2,-y+1/2,-z'
'-x+1/2,y+1/2,-z'
'x+1/2,-y+1/2,z'
loop_
_atom_site_label
_atom_site_fract_x
_atom_site_fract_y
_atom_site_fract_z
Ac1 0.000 0.000 0.000
Ac2 0.174 0.246 0.185
Ac3 0.215 0.000 0.576
La1 0.082 0.500 0.794
Tb1 0.000 0.229 0.500
```

Output
electronic total energy	-4.170	eV per atom
magnetic moment	0.000	μB per formula unit
energy above the most stable polymorph in this dataset	0.000	eV/atom
ΔE_f	2.006	eV per formula unit
DOS at the Fermi energy	35.67	states/eV/cell

=====

Record 4
Here is TePdAuCl2 after structural relaxation from Alexandria. Energies are from PBE-GGA.

CIF file:
```
data_TePdAuCl2
_chemical_formula_sum 'Te1 Pd1 Au1 Cl2'
_cell_length_a 4.615
_cell_length_b 4.615
_cell_length_c 5.773
_cell_angle_alpha 90.00
_cell_angle_beta 90.00
_cell_angle_gamma 90.00
_symmetry_space_group_name_H-M 'P 4/m m m'
_symmetry_Int_Tables_number 123
_symmetry_space_group_name_Hall '-P 4 2'
loop_
_atom_site_label
_atom_site_fract_x
_atom_site_fract_y
_atom_site_fract_z
Te1 0.000 0.000 0.000
Pd1 0.500 0.500 0.500
Au1 0.500 0.500 0.000
Cl1 0.000 0.500 0.500
```

Output
electronic total energy	-2.885	eV per atom
magnetic moment	1.078	μB per formula unit
E_form (uncorrected)	4.07	kcal/mol of atoms
DOS at the Fermi energy	3.14	states/eV/cell

=====

Record 5
Here is Eu3Tm after structural relaxation from Alexandria. Energies are from PBE-GGA.

CIF file:
```
data_Eu3Tm
_chemical_formula_sum 'Eu3 Tm1'
_cell_length_a 5.325
_cell_length_b 5.325
_cell_length_c 5.325
_cell_angle_alpha 90.00
_cell_angle_beta 90.00
_cell_angle_gamma 90.00
_symmetry_space_group_name_H-M 'P m -3 m'
_symmetry_Int_Tables_number 221
_symmetry_space_group_name_Hall '-P 4 2 3'
loop_
_atom_site_label
_atom_site_fract_x
_atom_site_fract_y
_atom_site_fract_z
Eu1 0.000 0.000 0.500
Tm1 0.500 0.500 0.500
```

Output
electronic total energy	-8.723	eV per atom
magnetic moment	22.686	μB per formula unit
energy above the most stable polymorph in this dataset	0.004	eV/atom
ΔE_f	0.405	eV per formula unit
DOS at the Fermi energy	4.24	states/eV/cell

=====

Record 6
Here is Dy2AsO after structural relaxation from Alexandria. Energies are from PBE-GGA.

CIF file:
```
data_Dy2AsO
_chemical_formula_sum 'Dy8 As4 O4'
_cell_length_a 6.963
_cell_length_b 7.433
_cell_length_c 6.358
_cell_angle_alpha 90.00
_cell_angle_beta 104.43
_cell_angle_gamma 90.00
_symmetry_space_group_name_H-M 'P 1 21/c 1'
_symmetry_Int_Tables_number 14
loop_
_symmetry_equiv_pos_as_xyz
'x,y,z'
'-x,-y,-z'
'-x,y+1/2,-z+1/2'
'x,-y+1/2,z+1/2'
loop_
_atom_site_label
_atom_site_fract_x
_atom_site_fract_y
_atom_site_fract_z
Dy1 0.063 0.121 0.243
Dy2 0.392 0.749 0.976
As1 0.305 0.073 0.693
O1 0.129 0.658 0.631
```

Output
electronic total energy	-6.856	eV per atom
magnetic moment	0.000	μB per formula unit
energy above the most stable polymorph in this dataset	0.000	eV/atom
E_form (uncorrected)	-49.65	kcal/mol of atoms
DOS at the Fermi energy	7.02	states/eV/cell

=====

Record 7
Here is Sr2BeNi after structural relaxation from Alexandria. Energies are from PBE-GGA.

CIF file:
```
data_Sr2BeNi
_chemical_formula_sum 'Sr8 Be4 Ni4'
_cell_length_a 7.110
_cell_length_b 7.110
_cell_length_c 7.110
_cell_angle_alpha 90.00
_cell_angle_beta 90.00
_cell_angle_gamma 90.00
_symmetry_space_group_name_H-M 'F -4 3 m'
_symmetry_Int_Tables_number 216
_symmetry_space_group_name_Hall 'F -4 2 3'
loop_
_atom_site_label
_atom_site_fract_x
_atom_site_fract_y
_atom_site_fract_z
Sr1 0.000 0.000 0.000
Sr2 0.250 0.250 0.250
Be1 0.000 0.000 0.500
Ni1 0.250 0.250 0.750
```

Output
electronic total energy	-2.618	eV per atom
magnetic moment	0.002	μB per formula unit
ΔE_f	2.398	eV per formula unit
DOS at the Fermi energy	25.20	states/eV/cell

=====

Record 8
Here is Y3MgCd7 after structural relaxation from Alexandria. Energies are from PBE-GGA.

CIF file:
```
data_Y3MgCd7
_chemical_formula_sum 'Y12 Mg4 Cd28'
_cell_length_a 3.501
_cell_length_b 20.100
_cell_length_c 15.630
_cell_angle_alpha 90.00
_cell_angle_beta 90.00
_cell_angle_gamma 90.00
_symmetry_space_group_name_H-M 'C m c m'
_symmetry_Int_Tables_number 63
_symmetry_space_group_name_Hall '-C 2c 2'
loop_
_atom_site_label
_atom_site_fract_x
_atom_site_fract_y
_atom_site_fract_z
Y1 0.000 0.060 0.089
Y2 0.000 0.336 0.750
Mg1 0.000 0.119 0.750
Cd1 0.000 0.280 0.151
Cd2 0.000 0.310 0.541
Cd3 0.000 0.422 0.089
Cd4 0.000 0.492 0.750
```

Output
electronic total energy	-2.674	eV per atom
magnetic moment	0.000	μB per formula unit
ΔE_f	-2.022	eV per formula unit
DOS at the Fermi energy	33.68	states/eV/cell

=====

Record 9
Here is Na2Li3AgSb4 after structural relaxation from Alexandria. Energies are from PBE-GGA.

CIF file:
```
data_Na2Li3AgSb4
_chemical_formula_sum 'Na2 Li3 Ag1 Sb4'
_cell_length_a 4.371
_cell_length_b 4.371
_cell_length_c 12.926
_cell_angle_alpha 90.00
_cell_angle_beta 90.00
_cell_angle_gamma 90.00
_symmetry_space_group_name_H-M 'P -4 m 2'
_symmetry_Int_Tables_number 115
loop_
_symmetry_equiv_pos_as_xyz
'x,y,z'
'y,-x,-z'
'-x,-y,z'
'-y,x,-z'
'-x,y,z'
'-y,-x,-z'
'x,-y,z'
'y,x,-z'
loop_
_atom_site_label
_atom_site_fract_x
_atom_site_fract_y
_atom_site_fract_z
Na1 0.000 0.500 0.226
Li1 0.000 0.000 0.000
Li2 0.000 0.500 0.648
Ag1 0.500 0.500 0.000
Sb1 0.000 0.000 0.500
Sb2 0.000 0.500 0.859
Sb3 0.500 0.500 0.500
```

Output
electronic total energy	-3.101	eV per atom
magnetic moment	0.000	μB per formula unit
E_form (uncorrected)	-7.60	kcal/mol of atoms
DOS at the Fermi energy	3.69	states/eV/cell

=====

Record 10
Here is TbPm3F after structural relaxation from Alexandria. Energies are from PBE-GGA.

CIF file:
```
data_TbPm3F
_chemical_formula_sum 'Tb1 Pm3 F1'
_cell_length_a 5.148
_cell_length_b 5.148
_cell_length_c 5.148
_cell_angle_alpha 90.00
_cell_angle_beta 90.00
_cell_angle_gamma 90.00
_symmetry_space_group_name_H-M 'P m -3 m'
_symmetry_Int_Tables_number 221
_symmetry_space_group_name_Hall '-P 4 2 3'
loop_
_atom_site_label
_atom_site_fract_x
_atom_site_fract_y
_atom_site_fract_z
Tb1 0.000 0.000 0.000
Pm1 0.000 0.500 0.500
F1 0.500 0.500 0.500
```

Output
electronic total energy	-5.123	eV per atom
magnetic moment	0.000	μB per formula unit
E_form (uncorrected)	-22.41	kcal/mol of atoms
DOS at the Fermi energy	5.65	states/eV/cell

=====

Record 11
Here is La6Nd2SmHo after structural relaxation from Alexandria. Energies are from PBE-GGA.

CIF file:
```
data_La6Nd2SmHo
_chemical_formula_sum 'La24 Nd8 Sm4 Ho4'
_cell_length_a 9.914
_cell_length_b 15.420
_cell_length_c 9.311
_cell_angle_alpha 90.00
_cell_angle_beta 90.05
_cell_angle_gamma 90.00
_symmetry_space_group_name_H-M 'C 1 2/c 1'
_symmetry_Int_Tables_number 15
loop_
_symmetry_equiv_pos_as_xyz
'x,y,z'
'-x,-y,-z'
'-x,y,-z+1/2'
'x,-y,z+1/2'
'x+1/2,y+1/2,z'
'-x+1/2,-y+1/2,-z'
'-x+1/2,y+1/2,-z+1/2'
'x+1/2,-y+1/2,z+1/2'
loop_
_atom_site_label
_atom_site_fract_x
_atom_site_fract_y
_atom_site_fract_z
La1 0.074 0.145 0.094
La2 0.074 0.351 0.907
La3 0.248 0.282 0.319
Nd1 0.249 0.045 0.436
Sm1 0.000 0.431 0.250
Ho1 0.000 0.069 0.750
```

Output
electronic total energy	-4.731	eV per atom
magnetic moment	0.000	μB per formula unit
ΔE_f	1.087	eV per formula unit
DOS at the Fermi energy	49.76	states/eV/cell